Entry 1:
This record from the Alexandria database describes Nd4AuI5 after structural relaxation. The functional is PBE.

Lattice parameters (Å, degrees): 4.286 9.268 10.063 102.24 102.29 90.00
Fractional positions:
Nd (0.653, 0.075, 0.306)
Nd (0.001, 0.220, 0.002)
Nd (0.347, 0.925, 0.694)
Nd (0.999, 0.780, 0.998)
Au (0.500, 0.000, 0.000)
I (0.169, 0.339, 0.337)
I (0.173, 0.822, 0.345)
I (0.827, 0.178, 0.655)
I (0.500, 0.500, 0.000)
I (0.831, 0.661, 0.663)

N(E_F): 5.21 states/eV per cell
Symmetry: C2/m, No. 12
Total magnetic moment: 0.00 μB per cell
E_form (uncorrected): -1153 meV/atom

---

Entry 2:
This record from the Alexandria database describes MnAlAu after structural relaxation. The functional is PBE.

Lattice parameters (Å, degrees): 2.912 2.912 6.505 90.00 90.00 120.00
Fractional positions:
Mn (0.333, 0.667, 0.679)
Au (0.667, 0.333, 0.331)
Al (0.000, 0.000, 0.990)

N(E_F): 1.95 states/eV per cell
Symmetry: P3m1, No. 156
Total magnetic moment: 3.33 μB per cell
Formation energy from the elements: -0.0125 eV per atom

---

Entry 3:
This record from the Alexandria database describes Al4Os5 after structural relaxation. The functional is PBE.

Lattice parameters (Å, degrees): 7.612 7.612 5.082 90.00 90.00 120.00
Fractional positions:
Os (0.000, 0.706, 0.250)
Os (0.294, 0.294, 0.250)
Os (0.706, 0.000, 0.250)
Os (0.000, 0.294, 0.750)
Os (0.706, 0.706, 0.750)
Os (0.294, 0.000, 0.750)
Os (0.667, 0.333, 0.000)
Os (0.333, 0.667, 0.500)
Os (0.333, 0.667, 0.000)
Os (0.667, 0.333, 0.500)
Al (0.000, 0.000, 0.000)
Al (0.000, 0.000, 0.500)
Al (0.000, 0.377, 0.250)
Al (0.623, 0.623, 0.250)
Al (0.377, 0.000, 0.250)
Al (0.000, 0.623, 0.750)
Al (0.377, 0.377, 0.750)
Al (0.623, 0.000, 0.750)

N(E_F): 14.19 states/eV per cell
Symmetry: P6_3/mcm, No. 193
Total magnetic moment: 0.00 μB per cell
Formation energy from the elements: -0.0369 eV per atom

---

Entry 4:
This record from the Alexandria database describes Pu2GaSiAu6 after structural relaxation. The functional is PBE.

Lattice parameters (Å, degrees): 6.620 6.620 12.050 74.06 74.06 60.00
Fractional positions:
Pu (0.890, 0.890, 0.329)
Pu (0.110, 0.110, 0.671)
Pu (0.719, 0.719, 0.843)
Pu (0.281, 0.281, 0.157)
Ga (0.575, 0.575, 0.275)
Ga (0.425, 0.425, 0.725)
Si (0.000, 0.000, 0.000)
Si (0.500, 0.500, 0.500)
Au (0.920, 0.338, 0.404)
Au (0.338, 0.920, 0.404)
Au (0.338, 0.338, 0.404)
Au (0.080, 0.662, 0.596)
Au (0.662, 0.080, 0.596)
Au (0.662, 0.662, 0.596)
Au (0.662, 0.220, 0.898)
Au (0.220, 0.662, 0.898)
Au (0.220, 0.220, 0.898)
Au (0.338, 0.780, 0.102)
Au (0.780, 0.338, 0.102)
Au (0.780, 0.780, 0.102)

N(E_F): 70.57 states/eV per cell
Symmetry: R-3m, No. 166
Total magnetic moment: 23.43 μB per cell
E_form (uncorrected): -250 meV/atom

---

Entry 5:
This record from the Alexandria database describes NaNiH3 after structural relaxation. The functional is PBE.

Lattice parameters (Å, degrees): 6.713 6.713 5.035 90.00 90.00 152.23
Fractional positions:
Ni (0.076, 0.924, 0.250)
Ni (0.924, 0.076, 0.750)
H (0.038, 0.662, 0.250)
H (0.338, 0.962, 0.250)
H (0.662, 0.038, 0.750)
H (0.962, 0.338, 0.750)
H (0.000, 0.000, 0.000)
H (0.000, 0.000, 0.500)
Na (0.390, 0.610, 0.250)
Na (0.610, 0.390, 0.750)

N(E_F): 1.11 states/eV per cell
Symmetry: Cmcm, No. 63
Total magnetic moment: 0.00 μB per cell
Energy: -0.1233 hartree per atom

---

Entry 6:
This record from the Alexandria database describes LaNi2Br after structural relaxation. The functional is PBE.

Lattice parameters (Å, degrees): 7.437 7.437 5.996 51.67 51.67 90.00
Fractional positions:
Ni (0.594, 0.125, 0.250)
Ni (0.156, 0.625, 0.250)
Ni (0.375, 0.406, 0.750)
Ni (0.875, 0.844, 0.750)
Br (0.500, 0.500, 0.000)
Br (0.250, 0.750, 0.500)
La (0.000, 0.000, 0.000)
La (0.750, 0.250, 0.500)

N(E_F): 5.60 states/eV per cell
Symmetry: I-42d, No. 122
Total magnetic moment: 0.00 μB per cell
E_form (uncorrected): -34 meV/atom

---

Question: Among the records above, which one has the highest total magnetic moment?
Answer: Pu2GaSiAu6